[1]
! Ta2BeAg PBE relaxed; values from VASP
! ΔH_f (0 K): 1.72 eV per formula unit
! volume: 65 Å³ per cell
! N(E_F): 4.3 states/eV/cell
! energy: -28.6 eV per cell
&SYSTEM
  ibrav = 0, nat = 4, ntyp = 3
/
ATOMIC_SPECIES
Ag 107.87 Ag.upf
Be 9.01 Be.upf
Ta 180.95 Ta.upf
ATOMIC_POSITIONS angstrom
Ag 3.6189 2.3111 0.0000
Be 2.5475 -0.0002 1.3713
Ta 0.0000 0.0000 0.0000
Ta 1.0714 2.3112 1.3713
CELL_PARAMETERS angstrom
5.0950 -0.0003 0.0000
2.1428 4.6225 0.0000
-3.6189 -2.3111 2.7425

***

[2]
! TaBe2Ag PBE relaxed; values from VASP
! ΔH_f (0 K): 1.89 eV per formula unit
! volume: 55 Å³ per cell
! N(E_F): 2.4 states/eV/cell
! E above lowest polymorph: 394 meV per atom
! energy: -20.3 eV per cell
&SYSTEM
  ibrav = 0, nat = 4, ntyp = 3
/
ATOMIC_SPECIES
Ag 107.87 Ag.upf
Be 9.01 Be.upf
Ta 180.95 Ta.upf
ATOMIC_POSITIONS angstrom
Ag -1.8068 1.7785 -0.9602
Be -2.4620 0.2721 1.1020
Be 0.0000 0.0000 0.0000
Ta -3.7259 -0.1118 -1.2654
CELL_PARAMETERS angstrom
-3.0708 1.3946 -3.3276
-4.3811 -1.6183 0.7968
3.1831 2.2743 2.6726

***

[3]
! Ta2BeAg PBE relaxed; values from VASP
! ΔH_f (0 K): 1.26 eV per formula unit
! volume: 66 Å³ per cell
! N(E_F): 2.4 states/eV/cell
! energy: -29.0 eV per cell
&SYSTEM
  ibrav = 0, nat = 4, ntyp = 3
/
ATOMIC_SPECIES
Ag 107.87 Ag.upf
Be 9.01 Be.upf
Ta 180.95 Ta.upf
ATOMIC_POSITIONS angstrom
Ag 0.2362 -3.0923 0.1684
Be -1.8072 -4.6556 1.1848
Ta -2.0528 -1.4400 1.0097
Ta 0.4443 -5.8176 0.3169
CELL_PARAMETERS angstrom
-1.2269 0.0746 3.0907
-3.0813 -0.3016 -1.2159
0.4515 -5.9114 0.3220

***

[4]
! Ta2BeAg PBE relaxed; values from VASP
! ΔH_f (0 K): 3.38 eV per formula unit
! volume: 140 Å³ per cell
! N(E_F): 5.5 states/eV/cell
! energy: -53.8 eV per cell
&SYSTEM
  ibrav = 0, nat = 8, ntyp = 3
/
ATOMIC_SPECIES
Ta 180.95 Ta.upf
Ag 107.87 Ag.upf
Be 9.01 Be.upf
ATOMIC_POSITIONS angstrom
Ta 4.7007 4.6704 7.4267
Ta 0.9705 2.8204 2.4756
Ta 2.7901 0.9401 2.4756
Ta 2.8204 2.8508 7.4267
Ag 0.0000 0.0000 0.0000
Ag 3.7606 1.8803 4.9511
Be 1.8803 1.8803 0.0000
Be 1.8803 3.7606 4.9511
CELL_PARAMETERS angstrom
3.7606 0.0000 0.0000
0.0000 3.7606 0.0000
1.8803 1.8803 9.9023

***

[5]
! TaBe2Ag PBE relaxed; values from VASP
! ΔH_f (0 K): 2.42 eV per formula unit
! volume: 113 Å³ per cell
! N(E_F): 2.3 states/eV/cell
! E above lowest polymorph: 526 meV per atom
! energy: -39.5 eV per cell
&SYSTEM
  ibrav = 0, nat = 8, ntyp = 3
/
ATOMIC_SPECIES
Be 9.01 Be.upf
Ta 180.95 Ta.upf
Ag 107.87 Ag.upf
ATOMIC_POSITIONS angstrom
Be 1.7286 4.8106 0.6891
Be 8.0176 7.8925 2.0674
Be 4.6855 1.6035 0.6891
Be 4.8106 4.9356 2.0674
Ta 6.4141 3.2070 1.3783
Ta 0.0000 0.0000 0.0000
Ag 3.2070 3.2070 0.0000
Ag 3.2070 6.4141 1.3783
CELL_PARAMETERS angstrom
6.4141 0.0000 0.0000
0.0000 6.4141 0.0000
3.2070 3.2070 2.7566

***

[6]
! TaBe2Ag PBE relaxed; values from VASP
! ΔH_f (0 K): 1.55 eV per formula unit
! volume: 55 Å³ per cell
! N(E_F): 1.9 states/eV/cell
! E above lowest polymorph: 309 meV per atom
! energy: -20.6 eV per cell
&SYSTEM
  ibrav = 0, nat = 4, ntyp = 3
/
ATOMIC_SPECIES
Ag 107.87 Ag.upf
Be 9.01 Be.upf
Ta 180.95 Ta.upf
ATOMIC_POSITIONS angstrom
Ag 1.9547 0.7644 1.3108
Be 3.9188 1.5325 2.4508
Be 6.8168 2.6658 0.2369
Ta 5.8642 2.2933 3.9324
CELL_PARAMETERS angstrom
3.9391 -0.0104 0.0331
2.8870 2.6798 0.0331
0.9929 0.3883 5.1771

***

[7]
! TaBe2Ag PBE relaxed; values from VASP
! ΔH_f (0 K): 0.31 eV per formula unit
! volume: 52 Å³ per cell
! N(E_F): 2.2 states/eV/cell
! E above lowest polymorph: 0 meV per atom
! energy: -21.8 eV per cell
&SYSTEM
  ibrav = 0, nat = 4, ntyp = 3
/
ATOMIC_SPECIES
Ag 107.87 Ag.upf
Be 9.01 Be.upf
Ta 180.95 Ta.upf
ATOMIC_POSITIONS angstrom
Ag -4.4487 -0.6227 2.7009
Be -2.1067 -1.3894 2.1533
Be -4.0393 -2.6640 4.1286
Ta -2.4001 0.7285 0.6069
CELL_PARAMETERS angstrom
-0.6487 2.5764 1.0278
-2.1028 0.2316 -1.9078
-4.0973 -2.7022 4.1879

***

[8]
! TaBe2Ag PBE relaxed; values from VASP
! ΔH_f (0 K): 2.18 eV per formula unit
! volume: 56 Å³ per cell
! N(E_F): 1.6 states/eV/cell
! E above lowest polymorph: 466 meV per atom
! energy: -20.0 eV per cell
&SYSTEM
  ibrav = 0, nat = 4, ntyp = 3
/
ATOMIC_SPECIES
Be 9.01 Be.upf
Ta 180.95 Ta.upf
Ag 107.87 Ag.upf
ATOMIC_POSITIONS angstrom
Be -1.7126 -1.7251 0.9961
Be 0.0000 0.0000 0.0000
Ta -5.1379 -5.1754 2.9882
Ag -3.4253 -3.4503 1.9921
CELL_PARAMETERS angstrom
-1.6771 -3.9238 -0.4413
-1.0473 -2.2882 3.4743
-4.1261 -0.6886 0.9512

***

[9]
! Ta4BeAg PBE relaxed; values from VASP
! ΔH_f (0 K): 4.57 eV per formula unit
! volume: 113 Å³ per cell
! N(E_F): 6.6 states/eV/cell
! energy: -49.4 eV per cell
&SYSTEM
  ibrav = 0, nat = 6, ntyp = 3
/
ATOMIC_SPECIES
Ta 180.95 Ta.upf
Be 9.01 Be.upf
Ag 107.87 Ag.upf
ATOMIC_POSITIONS angstrom
Ta 2.8664 4.7969 4.7969
Ta 4.7969 2.8664 4.7969
Ta 2.8664 2.8664 2.8664
Ta 4.7969 4.7969 2.8664
Be 0.0000 0.0000 0.0000
Ag 5.7475 5.7475 5.7475
CELL_PARAMETERS angstrom
0.0000 3.8317 3.8317
3.8317 0.0000 3.8317
3.8317 3.8317 0.0000

***

[10]
! Ta2BeAg PBE relaxed; values from VASP
! ΔH_f (0 K): 1.32 eV per formula unit
! volume: 64 Å³ per cell
! N(E_F): 4.1 states/eV/cell
! energy: -29.0 eV per cell
&SYSTEM
  ibrav = 0, nat = 4, ntyp = 3
/
ATOMIC_SPECIES
Ag 107.87 Ag.upf
Ta 180.95 Ta.upf
Be 9.01 Be.upf
ATOMIC_POSITIONS angstrom
Ag -2.6804 0.9047 -0.1897
Ta -2.1678 2.0292 -2.7416
Ta 0.0000 0.0000 0.0000
Be -0.5655 2.7311 -0.5102
CELL_PARAMETERS angstrom
-0.0528 3.8556 -3.0620
-4.2827 0.2027 -2.4211
1.0896 -0.4225 4.7832

***

[11]
! Ta2BeAg PBE relaxed; values from VASP
! ΔH_f (0 K): 2.70 eV per formula unit
! volume: 66 Å³ per cell
! N(E_F): 5.6 states/eV/cell
! energy: -27.6 eV per cell
&SYSTEM
  ibrav = 0, nat = 4, ntyp = 3
/
ATOMIC_SPECIES
Ta 180.95 Ta.upf
Be 9.01 Be.upf
Ag 107.87 Ag.upf
ATOMIC_POSITIONS angstrom
Ta 1.9439 -5.9367 -5.5470
Ta 0.0000 0.0000 0.0000
Be 0.6480 -1.9789 -1.8490
Ag 1.2960 -3.9578 -3.6980
CELL_PARAMETERS angstrom
-0.3285 -1.2620 -4.3565
3.4156 -2.2600 -1.9763
-0.4951 -4.3936 -1.0633

***

[12]
! TaBe4Ag PBE relaxed; values from VASP
! ΔH_f (0 K): 0.81 eV per formula unit
! volume: 68 Å³ per cell
! N(E_F): 2.1 states/eV/cell
! energy: -28.8 eV per cell
&SYSTEM
  ibrav = 0, nat = 6, ntyp = 3
/
ATOMIC_SPECIES
Ta 180.95 Ta.upf
Be 9.01 Be.upf
Ag 107.87 Ag.upf
ATOMIC_POSITIONS angstrom
Ta 1.6234 1.6234 1.6234
Be 2.4768 2.4768 4.0167
Be 4.0167 2.4768 2.4768
Be 4.0167 4.0167 4.0167
Be 2.4768 4.0167 2.4768
Ag 0.0000 0.0000 0.0000
CELL_PARAMETERS angstrom
0.0000 3.2467 3.2467
3.2467 0.0000 3.2467
3.2467 3.2467 0.0000